# 1
A plane-wave DFT calculation with PBE was carried out for a relaxed TiSbSI2 crystal.

Properties
N(E_F) = 1.867 states/eV/atom
Energy above the lowest structure with this stoichiometry = 566.5 meV/atom
Volume = 31.01 A^3/atom
Uncorrected formation energy = 4.23 eV per formula unit

Cell: 5.4444 5.4444 5.2304 Å, 90.00 90.00 90.00°
With the nearest neighbours (Å) after each atom.
Atoms (fractional coordinates):
I 0.5000 0.0000 0.0000  2 S 2.72
Ti 0.5000 0.5000 0.5000  8 I 3.77, 4 Sb 3.85
S 0.0000 0.0000 0.0000  2 Sb 2.62, 4 I 2.72
Sb 0.0000 0.0000 0.5000  2 S 2.62
I 0.0000 0.5000 0.0000  2 S 2.72

---

# 2
A plane-wave DFT calculation with PBE was carried out for a relaxed TiSb2SI crystal.

Properties
N(E_F) = 1.139 states/eV/atom
Energy above the lowest structure with this stoichiometry = 413.1 meV/atom
Volume = 28.68 A^3/atom
Uncorrected formation energy = 3.85 eV per formula unit

Cell: 5.1432 5.1432 5.4201 Å, 90.00 90.00 90.00°
With the nearest neighbours (Å) after each atom.
Atoms (fractional coordinates):
S 0.0000 0.0000 0.0000  4 Sb 2.57, 2 I 2.71
Sb 0.0000 0.5000 0.0000  2 S 2.57
I 0.0000 0.0000 0.5000  2 S 2.71
Ti 0.5000 0.5000 0.5000  4 I 3.64, 8 Sb 3.74
Sb 0.5000 0.0000 0.0000  2 S 2.57

---

# 3
A plane-wave DFT calculation with PBE was carried out for a relaxed TlSb2SI crystal.

Properties
N(E_F) = 0.868 states/eV/atom
Energy above the lowest structure with this stoichiometry = 0.0 meV/atom
Volume = 32.64 A^3/atom
Uncorrected formation energy = 1.69 eV per formula unit

Cell: 5.3196 5.3196 5.7663 Å, 90.00 90.00 90.00°
With the nearest neighbours (Å) after each atom.
Atoms (fractional coordinates):
Sb 0.5000 0.0000 0.0000  2 S 2.66
S 0.0000 0.0000 0.0000  4 Sb 2.66, 2 I 2.88
Tl 0.5000 0.5000 0.5000  4 I 3.76, 8 Sb 3.92
I 0.0000 0.0000 0.5000  2 S 2.88
Sb 0.0000 0.5000 0.0000  2 S 2.66

---

# 4
A plane-wave DFT calculation with PBE was carried out for a relaxed TlSbSI2 crystal.

Properties
N(E_F) = 1.627 states/eV/atom
Energy above the lowest structure with this stoichiometry = 655.0 meV/atom
Volume = 41.01 A^3/atom
Uncorrected formation energy = 4.19 eV per formula unit

Cell: 5.8272 5.8272 6.0394 Å, 90.00 90.00 90.00°
With the nearest neighbours (Å) after each atom.
Atoms (fractional coordinates):
I 0.5000 0.0000 0.0000  2 Tl 2.91
S 0.5000 0.5000 0.5000  4 Sb 4.12, 8 I 4.20
I 0.0000 0.5000 0.0000  2 Tl 2.91
Tl 0.0000 0.0000 0.0000  4 I 2.91, 2 Sb 3.02
Sb 0.0000 0.0000 0.5000  2 Tl 3.02

---

# 5
A plane-wave DFT calculation with PBE was carried out for a relaxed TlSb2SI crystal.

Properties
N(E_F) = 1.036 states/eV/atom
Energy above the lowest structure with this stoichiometry = 694.6 meV/atom
Volume = 39.39 A^3/atom
Uncorrected formation energy = 5.17 eV per formula unit

Cell: 5.8117 5.8117 5.8312 Å, 90.00 90.00 90.00°
With the nearest neighbours (Å) after each atom.
Atoms (fractional coordinates):
Tl 0.0000 0.0000 0.0000  4 Sb 2.91, 2 I 2.92
Sb 0.0000 0.5000 0.0000  2 Tl 2.91
Sb 0.5000 0.0000 0.0000  2 Tl 2.91
S 0.5000 0.5000 0.5000  4 I 4.11, 8 Sb 4.12
I 0.0000 0.0000 0.5000  2 Tl 2.92

---

# 6
A plane-wave DFT calculation with PBE was carried out for a relaxed TlSbSI2 crystal.

Properties
N(E_F) = 0.670 states/eV/atom
Energy above the lowest structure with this stoichiometry = 0.0 meV/atom
Volume = 35.46 A^3/atom
Uncorrected formation energy = 0.92 eV per formula unit

Cell: 5.8127 5.8127 5.2480 Å, 90.00 90.00 90.00°
With the nearest neighbours (Å) after each atom.
Atoms (fractional coordinates):
I 0.0000 0.5000 0.0000  2 S 2.91
S 0.0000 0.0000 0.0000  2 Sb 2.62, 4 I 2.91
Sb 0.0000 0.0000 0.5000  2 S 2.62
Tl 0.5000 0.5000 0.5000  8 I 3.92, 4 Sb 4.11
I 0.5000 0.0000 0.0000  2 S 2.91

---

# 7
A plane-wave DFT calculation with PBE was carried out for a relaxed Tl2SbS2I2 crystal.

Properties
N(E_F) = 0.307 states/eV/atom
Volume = 33.37 A^3/atom
Uncorrected formation energy = -2.29 eV per formula unit

Cell: 5.1672 5.1672 9.4815 Å, 105.81 105.81 90.00°
With the nearest neighbours (Å) after each atom.
Atoms (fractional coordinates):
S 0.5000 0.0000 0.0000  2 Sb 2.58
Sb 0.0000 0.0000 0.0000  4 S 2.58
S 0.0000 0.5000 0.0000  2 Sb 2.58
Tl 0.6169 0.6169 0.2338  4 S 3.30, 1 I 3.68
I 0.8274 0.8274 0.6548  1 Sb 3.02
I 0.1726 0.1726 0.3452  1 Sb 3.02
Tl 0.3831 0.3831 0.7662  4 S 3.30, 1 I 3.68

---

# 8
A plane-wave DFT calculation with PBE was carried out for a relaxed VSb2SI crystal.

Properties
N(E_F) = 1.102 states/eV/atom
Energy above the lowest structure with this stoichiometry = 635.4 meV/atom
Volume = 28.73 A^3/atom
Uncorrected formation energy = 5.53 eV per formula unit

Cell: 5.1432 5.1432 5.4298 Å, 90.00 90.00 90.00°
With the nearest neighbours (Å) after each atom.
Atoms (fractional coordinates):
Sb 0.0000 0.5000 0.0000  2 S 2.57
I 0.0000 0.0000 0.5000  2 S 2.71
S 0.0000 0.0000 0.0000  4 Sb 2.57, 2 I 2.71
Sb 0.5000 0.0000 0.0000  2 S 2.57
V 0.5000 0.5000 0.5000  4 I 3.64, 8 Sb 3.74

---

# 9
A plane-wave DFT calculation with PBE was carried out for a relaxed VSb2SI crystal.

Properties
N(E_F) = 0.436 states/eV/atom
Energy above the lowest structure with this stoichiometry = 0.0 meV/atom
Volume = 26.65 A^3/atom
Uncorrected formation energy = 2.36 eV per formula unit

Cell: 5.1792 5.1792 4.9673 Å, 90.00 90.00 90.00°
With the nearest neighbours (Å) after each atom.
Atoms (fractional coordinates):
V 0.0000 0.0000 0.0000  2 I 2.48, 4 Sb 2.59
S 0.5000 0.5000 0.5000  8 Sb 3.59, 4 I 3.66
I 0.0000 0.0000 0.5000  2 V 2.48
Sb 0.0000 0.5000 0.0000  2 V 2.59
Sb 0.5000 0.0000 0.0000  2 V 2.59

---

# 10
A plane-wave DFT calculation with PBE was carried out for a relaxed SbWSI2 crystal.

Properties
N(E_F) = 0.901 states/eV/atom
Energy above the lowest structure with this stoichiometry = 0.0 meV/atom
Volume = 29.99 A^3/atom
Uncorrected formation energy = 4.53 eV per formula unit

Cell: 5.2524 5.2524 5.4353 Å, 90.00 90.00 90.00°
With the nearest neighbours (Å) after each atom.
Atoms (fractional coordinates):
W 0.0000 0.0000 0.0000  4 I 2.63, 2 Sb 2.72
I 0.5000 0.0000 0.0000  2 W 2.63
I 0.0000 0.5000 0.0000  2 W 2.63
S 0.5000 0.5000 0.5000  4 Sb 3.71, 8 I 3.78
Sb 0.0000 0.0000 0.5000  2 W 2.72

---

# 11
A plane-wave DFT calculation with PBE was carried out for a relaxed Sb2WSI crystal.

Properties
N(E_F) = 0.657 states/eV/atom
Energy above the lowest structure with this stoichiometry = 678.0 meV/atom
Volume = 28.17 A^3/atom
Uncorrected formation energy = 7.46 eV per formula unit

Cell: 5.1203 5.1203 5.3732 Å, 90.00 90.00 90.00°
With the nearest neighbours (Å) after each atom.
Atoms (fractional coordinates):
S 0.0000 0.0000 0.0000  4 Sb 2.56, 2 I 2.69
I 0.0000 0.0000 0.5000  2 S 2.69
W 0.5000 0.5000 0.5000  4 I 3.62, 8 Sb 3.71
Sb 0.5000 0.0000 0.0000  2 S 2.56
Sb 0.0000 0.5000 0.0000  2 S 2.56

---

# 12
A plane-wave DFT calculation with PBE was carried out for a relaxed Sb2WSI crystal.

Properties
N(E_F) = 0.871 states/eV/atom
Energy above the lowest structure with this stoichiometry = 0.0 meV/atom
Volume = 28.98 A^3/atom
Uncorrected formation energy = 4.07 eV per formula unit

Cell: 5.2751 5.2751 5.2077 Å, 90.00 90.00 90.00°
With the nearest neighbours (Å) after each atom.
Atoms (fractional coordinates):
S 0.5000 0.5000 0.5000  8 Sb 3.71, 4 I 3.73
I 0.0000 0.0000 0.5000  2 W 2.60
Sb 0.0000 0.5000 0.0000  2 W 2.64
W 0.0000 0.0000 0.0000  2 I 2.60, 4 Sb 2.64
Sb 0.5000 0.0000 0.0000  2 W 2.64

---

# 13
A plane-wave DFT calculation with PBE was carried out for a relaxed SbWSI2 crystal.

Properties
N(E_F) = 1.480 states/eV/atom
Energy above the lowest structure with this stoichiometry = 675.1 meV/atom
Volume = 31.08 A^3/atom
Uncorrected formation energy = 7.91 eV per formula unit

Cell: 5.4218 5.4218 5.2864 Å, 90.00 90.00 90.00°
With the nearest neighbours (Å) after each atom.
Atoms (fractional coordinates):
S 0.0000 0.0000 0.0000  2 Sb 2.64, 4 I 2.71
W 0.5000 0.5000 0.5000  8 I 3.79, 4 Sb 3.83
I 0.5000 0.0000 0.0000  2 S 2.71
I 0.0000 0.5000 0.0000  2 S 2.71
Sb 0.0000 0.0000 0.5000  2 S 2.64

---

# 14
A plane-wave DFT calculation with PBE was carried out for a relaxed YSb2SI crystal.

Properties
N(E_F) = 0.533 states/eV/atom
Energy above the lowest structure with this stoichiometry = 0.0 meV/atom
Volume = 29.72 A^3/atom
Uncorrected formation energy = 0.29 eV per formula unit

Cell: 5.1977 5.1977 5.5010 Å, 90.00 90.00 90.00°
With the nearest neighbours (Å) after each atom.
Atoms (fractional coordinates):
Y 0.5000 0.5000 0.5000  4 I 3.68, 8 Sb 3.78
S 0.0000 0.0000 0.0000  4 Sb 2.60, 2 I 2.75
Sb 0.0000 0.5000 0.0000  2 S 2.60
I 0.0000 0.0000 0.5000  2 S 2.75
Sb 0.5000 0.0000 0.0000  2 S 2.60

---

# 15
A plane-wave DFT calculation with PBE was carried out for a relaxed YSb2SI crystal.

Properties
N(E_F) = 1.191 states/eV/atom
Energy above the lowest structure with this stoichiometry = 377.5 meV/atom
Volume = 39.77 A^3/atom
Uncorrected formation energy = 2.18 eV per formula unit

Cell: 5.9207 5.9207 5.6721 Å, 90.00 90.00 90.00°
With the nearest neighbours (Å) after each atom.
Atoms (fractional coordinates):
Y 0.0000 0.0000 0.0000  2 I 2.84, 4 Sb 2.96
I 0.0000 0.0000 0.5000  2 Y 2.84
Sb 0.5000 0.0000 0.0000  2 Y 2.96
Sb 0.0000 0.5000 0.0000  2 Y 2.96
S 0.5000 0.5000 0.5000  8 Sb 4.10, 4 I 4.19

---

# 16
A plane-wave DFT calculation with PBE was carried out for a relaxed YSbSI2 crystal.

Properties
N(E_F) = 0.673 states/eV/atom
Energy above the lowest structure with this stoichiometry = 0.0 meV/atom
Volume = 43.09 A^3/atom
Uncorrected formation energy = 0.15 eV per formula unit

Cell: 5.8367 5.8367 6.3248 Å, 90.00 90.00 90.00°
With the nearest neighbours (Å) after each atom.
Atoms (fractional coordinates):
Y 0.0000 0.0000 0.0000  4 I 2.92, 2 Sb 3.16
Sb 0.0000 0.0000 0.5000  2 Y 3.16
I 0.0000 0.5000 0.0000  2 Y 2.92
I 0.5000 0.0000 0.0000  2 Y 2.92
S 0.5000 0.5000 0.5000  4 Sb 4.13, 8 I 4.30

---

# 17
A plane-wave DFT calculation with PBE was carried out for a relaxed YSbSI2 crystal.

Properties
N(E_F) = 0.148 states/eV/atom
Energy above the lowest structure with this stoichiometry = 68.6 meV/atom
Volume = 31.68 A^3/atom
Uncorrected formation energy = 0.50 eV per formula unit

Cell: 5.4495 5.4495 5.3341 Å, 90.00 90.00 90.00°
With the nearest neighbours (Å) after each atom.
Atoms (fractional coordinates):
I 0.0000 0.5000 0.0000  2 S 2.72
Y 0.5000 0.5000 0.5000  8 I 3.81, 4 Sb 3.85
S 0.0000 0.0000 0.0000  2 Sb 2.67, 4 I 2.72
I 0.5000 0.0000 0.0000  2 S 2.72
Sb 0.0000 0.0000 0.5000  2 S 2.67

---

# 18
A plane-wave DFT calculation with PBE was carried out for a relaxed ZrSb2SI crystal.

Properties
N(E_F) = 0.732 states/eV/atom
Energy above the lowest structure with this stoichiometry = 142.8 meV/atom
Volume = 28.25 A^3/atom
Uncorrected formation energy = 2.87 eV per formula unit

Cell: 5.1349 5.1349 5.3567 Å, 90.00 90.00 90.00°
With the nearest neighbours (Å) after each atom.
Atoms (fractional coordinates):
Zr 0.5000 0.5000 0.5000  4 I 3.63, 8 Sb 3.71
S 0.0000 0.0000 0.0000  4 Sb 2.57, 2 I 2.68
Sb 0.0000 0.5000 0.0000  2 S 2.57
Sb 0.5000 0.0000 0.0000  2 S 2.57
I 0.0000 0.0000 0.5000  2 S 2.68

---

# 19
A plane-wave DFT calculation with PBE was carried out for a relaxed ZrSb2SI crystal.

Properties
N(E_F) = 0.982 states/eV/atom
Energy above the lowest structure with this stoichiometry = 0.0 meV/atom
Volume = 34.37 A^3/atom
Uncorrected formation energy = 2.16 eV per formula unit

Cell: 5.6243 5.6243 5.4335 Å, 90.00 90.00 90.00°
With the nearest neighbours (Å) after each atom.
Atoms (fractional coordinates):
S 0.5000 0.5000 0.5000  8 Sb 3.91, 4 I 3.98
Sb 0.0000 0.5000 0.0000  2 Zr 2.81
Zr 0.0000 0.0000 0.0000  2 I 2.72, 4 Sb 2.81
I 0.0000 0.0000 0.5000  2 Zr 2.72
Sb 0.5000 0.0000 0.0000  2 Zr 2.81

---

# 20
A plane-wave DFT calculation with PBE was carried out for a relaxed ScSI3 crystal.

Properties
N(E_F) = 2.080 states/eV/atom
Energy above the lowest structure with this stoichiometry = 551.6 meV/atom
Volume = 34.29 A^3/atom
Uncorrected formation energy = 1.46 eV per formula unit

Cell: 5.5553 5.5553 5.5553 Å, 90.00 90.00 90.00°
With the nearest neighbours (Å) after each atom.
Atoms (fractional coordinates):
Sc 0.5000 0.5000 0.5000  12 I 3.93
I 0.0000 0.5000 0.0000  2 S 2.78
I 0.0000 0.0000 0.5000  2 S 2.78
I 0.5000 0.0000 0.0000  2 S 2.78
S 0.0000 0.0000 0.0000  6 I 2.78